Compound: SbPRh2
Source: Alexandria
Functional: PBE
Structure: relaxed

Results
Total moment in μB/cell: 0.00
Energy above the lowest structure with this stoichiometry in eV/atom: 0.069
Formation energy (no corrections) in meV/atom: -377.4

The structure in CIF format:
```
data_SbPRh2
_chemical_formula_sum 'Sb2 P2 Rh4'
_symmetry_space_group_name_H-M 'I m m 2'
_symmetry_Int_Tables_number 44
_cell_length_a 3.165
_cell_length_b 3.282
_cell_length_c 13.254
_cell_angle_alpha 90.00
_cell_angle_beta 90.00
_cell_angle_gamma 90.00
loop_
_symmetry_equiv_pos_as_xyz
'x,y,z'
'-x,-y,z'
'-x,y,z'
'x,-y,z'
'x+1/2,y+1/2,z+1/2'
'-x+1/2,-y+1/2,z+1/2'
'-x+1/2,y+1/2,z+1/2'
'x+1/2,-y+1/2,z+1/2'
loop_
_atom_site_label
_atom_site_type_symbol
_atom_site_fract_x
_atom_site_fract_y
_atom_site_fract_z
_atom_site_occupancy
Sb1 Sb 0.000 0.000 0.000 1
P1 P 0.000 0.500 0.250 1
Rh1 Rh 0.000 0.000 0.374 1
Rh2 Rh 0.000 0.500 0.689 1
```



Compound: LaY4Se6
Source: Alexandria
Functional: PBE
Structure: relaxed

Results
Total moment in μB/cell: 0.00
Formation energy (no corrections) in meV/atom: -1887.9

The structure in CIF format:
```
data_LaY4Se6
_chemical_formula_sum 'La4 Y16 Se24'
_symmetry_space_group_name_H-M 'C m c m'
_symmetry_Int_Tables_number 63
_symmetry_space_group_name_Hall '-C 2c 2'
_cell_length_a 4.080
_cell_length_b 13.439
_cell_length_c 20.817
_cell_angle_alpha 90.00
_cell_angle_beta 90.00
_cell_angle_gamma 90.00
loop_
_atom_site_label
_atom_site_type_symbol
_atom_site_fract_x
_atom_site_fract_y
_atom_site_fract_z
_atom_site_occupancy
La1 La 0.000 0.156 0.250 1
Y1 Y 0.000 0.092 0.625 1
Y2 Y 0.000 0.359 0.538 1
Se1 Se 0.000 0.000 0.000 1
Se2 Se 0.000 0.181 0.750 1
Se3 Se 0.000 0.267 0.091 1
Se4 Se 0.000 0.452 0.664 1
```



Compound: Ho3FeGe3
Source: Alexandria
Functional: PBE
Structure: relaxed

Results
Total moment in μB/cell: 5.67
E_form in eV/atom: -0.730

The structure in CIF format:
```
data_Ho3FeGe3
_chemical_formula_sum 'Ho12 Fe4 Ge12'
_symmetry_space_group_name_H-M 'C 1 2/m 1'
_symmetry_Int_Tables_number 12
_cell_length_a 10.629
_cell_length_b 4.197
_cell_length_c 13.816
_cell_angle_alpha 90.00
_cell_angle_beta 110.53
_cell_angle_gamma 90.00
loop_
_symmetry_equiv_pos_as_xyz
'x,y,z'
'-x,-y,-z'
'-x,y,-z'
'x,-y,z'
'x+1/2,y+1/2,z'
'-x+1/2,-y+1/2,-z'
'-x+1/2,y+1/2,-z'
'x+1/2,-y+1/2,z'
loop_
_atom_site_label
_atom_site_type_symbol
_atom_site_fract_x
_atom_site_fract_y
_atom_site_fract_z
_atom_site_occupancy
Ho1 Ho 0.027 0.000 0.382 1
Ho2 Ho 0.099 0.000 0.920 1
Ho3 Ho 0.245 0.000 0.231 1
Fe1 Fe 0.242 0.500 0.407 1
Ge1 Ge 0.044 0.500 0.241 1
Ge2 Ge 0.124 0.500 0.075 1
Ge3 Ge 0.141 0.500 0.546 1
```



Compound: KNiPdS2
Source: Alexandria
Functional: PBE
Structure: relaxed

Results
Total moment in μB/cell: 0.00
Formation energy (no corrections) in meV/atom: -530.8

The structure in CIF format:
```
data_KNiPdS2
_chemical_formula_sum 'K4 Ni4 Pd4 S8'
_symmetry_space_group_name_H-M 'C m m e'
_symmetry_Int_Tables_number 67
_symmetry_space_group_name_Hall '-C 2a 2'
_cell_length_a 5.401
_cell_length_b 11.674
_cell_length_c 7.030
_cell_angle_alpha 90.00
_cell_angle_beta 90.00
_cell_angle_gamma 90.00
loop_
_atom_site_label
_atom_site_type_symbol
_atom_site_fract_x
_atom_site_fract_y
_atom_site_fract_z
_atom_site_occupancy
K1 K 0.000 0.250 0.235 1
Ni1 Ni 0.250 0.000 0.000 1
Pd1 Pd 0.000 0.000 0.500 1
S1 S 0.000 0.085 0.795 1
```



Compound: AlAgGe
Source: Alexandria
Functional: PBE
Structure: relaxed

Results
Total moment in μB/cell: 0.00
E_form in eV/atom: 0.139

The structure in CIF format:
```
data_AlAgGe
_chemical_formula_sum 'Al2 Ag2 Ge2'
_symmetry_space_group_name_H-M 'P -1'
_symmetry_Int_Tables_number 2
_cell_length_a 3.005
_cell_length_b 5.240
_cell_length_c 6.834
_cell_angle_alpha 92.98
_cell_angle_beta 90.02
_cell_angle_gamma 90.92
loop_
_symmetry_equiv_pos_as_xyz
'x,y,z'
'-x,-y,-z'
loop_
_atom_site_label
_atom_site_type_symbol
_atom_site_fract_x
_atom_site_fract_y
_atom_site_fract_z
_atom_site_occupancy
Al1 Al 0.246 0.259 0.494 1
Ag1 Ag 0.251 0.607 0.827 1
Ge1 Ge 0.251 0.888 0.186 1
```



Compound: LaGeOs2S
Source: Alexandria
Functional: PBE
Structure: relaxed

Results
Total moment in μB/cell: 0.00
Energy above the lowest structure with this stoichiometry in eV/atom: 0.000
Formation energy (no corrections) in meV/atom: 359.8

The structure in CIF format:
```
data_LaGeOs2S
_chemical_formula_sum 'La1 Ge1 Os2 S1'
_symmetry_space_group_name_H-M 'P 4/m m m'
_symmetry_Int_Tables_number 123
_symmetry_space_group_name_Hall '-P 4 2'
_cell_length_a 4.408
_cell_length_b 4.408
_cell_length_c 5.135
_cell_angle_alpha 90.00
_cell_angle_beta 90.00
_cell_angle_gamma 90.00
loop_
_atom_site_label
_atom_site_type_symbol
_atom_site_fract_x
_atom_site_fract_y
_atom_site_fract_z
_atom_site_occupancy
La1 La 0.000 0.000 0.000 1
Ge1 Ge 0.500 0.500 0.000 1
Os1 Os 0.000 0.500 0.500 1
S1 S 0.500 0.500 0.500 1
```



Compound: Sr2ZnGaIr2
Source: Alexandria
Functional: PBE
Structure: relaxed

Results
Total moment in μB/cell: 0.00
E_form in eV/atom: -0.372

The structure in CIF format:
```
data_Sr2ZnGaIr2
_chemical_formula_sum 'Sr8 Zn4 Ga4 Ir8'
_symmetry_space_group_name_H-M 'I b a m'
_symmetry_Int_Tables_number 72
_symmetry_space_group_name_Hall '-I 2 2c'
_cell_length_a 6.236
_cell_length_b 14.101
_cell_length_c 6.250
_cell_angle_alpha 90.00
_cell_angle_beta 90.00
_cell_angle_gamma 90.00
loop_
_atom_site_label
_atom_site_type_symbol
_atom_site_fract_x
_atom_site_fract_y
_atom_site_fract_z
_atom_site_occupancy
Sr1 Sr 0.246 0.170 0.000 1
Zn1 Zn 0.000 0.000 0.250 1
Ga1 Ga 0.000 0.500 0.250 1
Ir1 Ir 0.240 0.406 0.000 1
```



Compound: VTcB2
Source: Alexandria
Functional: PBE
Structure: relaxed

Results
Total moment in μB/cell: 0.00
Energy above the lowest structure with this stoichiometry in eV/atom: 0.361
E_form in eV/atom: -0.264

The structure in CIF format:
```
data_VTcB2
_chemical_formula_sum 'V3 Tc3 B6'
_symmetry_space_group_name_H-M 'R -3 m'
_symmetry_Int_Tables_number 166
_symmetry_space_group_name_Hall '-R 3 2"'
_cell_length_a 3.0449
_cell_length_b 3.0449
_cell_length_c 15.2443
_cell_angle_alpha 90.00
_cell_angle_beta 90.00
_cell_angle_gamma 120.00
loop_
_atom_site_label
_atom_site_type_symbol
_atom_site_fract_x
_atom_site_fract_y
_atom_site_fract_z
_atom_site_occupancy
V1 V 0.0000 0.0000 0.0000 1
Tc1 Tc 0.0000 0.0000 0.5000 1
B1 B 0.0000 0.0000 0.2525 1
```



Compound: NpZnRu
Source: Alexandria
Functional: PBE
Structure: relaxed

Results
Total moment in μB/cell: 0.00
E_form in eV/atom: 0.043

The structure in CIF format:
```
data_NpZnRu
_chemical_formula_sum 'Np6 Zn6 Ru6'
_symmetry_space_group_name_H-M 'R -3 m'
_symmetry_Int_Tables_number 166
_symmetry_space_group_name_Hall '-R 3 2"'
_cell_length_a 4.2904
_cell_length_b 4.2904
_cell_length_c 20.0763
_cell_angle_alpha 90.00
_cell_angle_beta 90.00
_cell_angle_gamma 120.00
loop_
_atom_site_label
_atom_site_type_symbol
_atom_site_fract_x
_atom_site_fract_y
_atom_site_fract_z
_atom_site_occupancy
Np1 Np 0.0000 0.0000 0.1495 1
Zn1 Zn 0.0000 0.0000 0.3010 1
Ru1 Ru 0.0000 0.0000 0.4302 1
```



Compound: Sb3P
Source: Alexandria
Functional: PBE
Structure: relaxed

Results
Total moment in μB/cell: 0.00
Energy above the lowest structure with this stoichiometry in eV/atom: 0.018
Formation energy (no corrections) in meV/atom: 125.1

The structure in CIF format:
```
data_Sb3P
_chemical_formula_sum 'Sb3 P1'
_symmetry_space_group_name_H-M 'P m m 2'
_symmetry_Int_Tables_number 25
_cell_length_a 4.114
_cell_length_b 6.019
_cell_length_c 4.565
_cell_angle_alpha 90.00
_cell_angle_beta 90.00
_cell_angle_gamma 90.00
loop_
_symmetry_equiv_pos_as_xyz
'x,y,z'
'-x,-y,z'
'-x,y,z'
'x,-y,z'
loop_
_atom_site_label
_atom_site_type_symbol
_atom_site_fract_x
_atom_site_fract_y
_atom_site_fract_z
_atom_site_occupancy
Sb1 Sb 0.000 0.000 0.000 1
Sb2 Sb 0.000 0.500 0.116 1
Sb3 Sb 0.500 0.500 0.554 1
P1 P 0.500 0.000 0.631 1
```



Compound: RbZrHg2
Source: Alexandria
Functional: PBE
Structure: relaxed

Results
Total moment in μB/cell: 0.00
Energy above the lowest structure with this stoichiometry in eV/atom: 0.000
E_form in eV/atom: 0.410

The structure in CIF format:
```
data_RbZrHg2
_chemical_formula_sum 'Rb4 Zr4 Hg8'
_symmetry_space_group_name_H-M 'F m -3 m'
_symmetry_Int_Tables_number 225
_symmetry_space_group_name_Hall '-F 4 2 3'
_cell_length_a 7.674
_cell_length_b 7.674
_cell_length_c 7.674
_cell_angle_alpha 90.00
_cell_angle_beta 90.00
_cell_angle_gamma 90.00
loop_
_atom_site_label
_atom_site_type_symbol
_atom_site_fract_x
_atom_site_fract_y
_atom_site_fract_z
_atom_site_occupancy
Rb1 Rb 0.000 0.000 0.000 1
Zr1 Zr 0.000 0.000 0.500 1
Hg1 Hg 0.250 0.250 0.250 1
```



Compound: K4NaMg3H12
Source: Alexandria
Functional: PBE
Structure: relaxed

Results
Total moment in μB/cell: 0.00
Total energy in eV per atom: -2.6979

The structure in CIF format:
```
data_K4NaMg3H12
_chemical_formula_sum 'K8 Na2 Mg6 H24'
_symmetry_space_group_name_H-M 'I m -3 m'
_symmetry_Int_Tables_number 229
_symmetry_space_group_name_Hall '-I 4 2 3'
_cell_length_a 8.172
_cell_length_b 8.172
_cell_length_c 8.172
_cell_angle_alpha 90.00
_cell_angle_beta 90.00
_cell_angle_gamma 90.00
loop_
_atom_site_label
_atom_site_type_symbol
_atom_site_fract_x
_atom_site_fract_y
_atom_site_fract_z
_atom_site_occupancy
K1 K 0.250 0.250 0.250 1
Na1 Na 0.000 0.000 0.000 1
Mg1 Mg 0.000 0.000 0.500 1
H1 H 0.000 0.000 0.269 1
H2 H 0.000 0.250 0.500 1
```



- total moment of number 4 (KNiPdS2)?
  0.00 μB/cell



- Look up the total moment of the twelfth one.
  0.00 μB/cell



Repeat the twelfth record exactly.
Compound: K4NaMg3H12
Source: Alexandria
Functional: PBE
Structure: relaxed

Results
Total moment in μB/cell: 0.00
Total energy in eV per atom: -2.6979

The structure in CIF format:
```
data_K4NaMg3H12
_chemical_formula_sum 'K8 Na2 Mg6 H24'
_symmetry_space_group_name_H-M 'I m -3 m'
_symmetry_Int_Tables_number 229
_symmetry_space_group_name_Hall '-I 4 2 3'
_cell_length_a 8.172
_cell_length_b 8.172
_cell_length_c 8.172
_cell_angle_alpha 90.00
_cell_angle_beta 90.00
_cell_angle_gamma 90.00
loop_
_atom_site_label
_atom_site_type_symbol
_atom_site_fract_x
_atom_site_fract_y
_atom_site_fract_z
_atom_site_occupancy
K1 K 0.250 0.250 0.250 1
Na1 Na 0.000 0.000 0.000 1
Mg1 Mg 0.000 0.000 0.500 1
H1 H 0.000 0.000 0.269 1
H2 H 0.000 0.250 0.500 1
```